The following is a DFT calculation (PBE) of a geometry-optimized SmDy2Ho9 structure.

Unit cell a=4.9988 b=4.9988 c=15.0011 alpha=90.00 beta=90.00 gamma=90.00
Positions (direct):
Sm: 0.0000 0.0000 0.0000
Dy: 0.0000 0.0000 0.3339
Dy: 0.0000 0.0000 0.6661
Ho: 0.5000 0.5000 0.0000
Ho: 0.5000 0.5000 0.3343
Ho: 0.5000 0.5000 0.6657
Ho: 0.5000 0.0000 0.1681
Ho: 0.5000 0.0000 0.5000
Ho: 0.5000 0.0000 0.8319
Ho: 0.0000 0.5000 0.1681
Ho: 0.0000 0.5000 0.5000
Ho: 0.0000 0.5000 0.8319

## Properties
symmetry: P4/mmm
energy relative to the lowest polymorph listed for this composition: 0 meV per atom
size of the total moment: 0.0 μB/cell
E: -54.865 eV/f.u.
ΔH_f (0 K): 0.02 eV/atom